(1)
# PBE KZnMo2, relaxed
data_KZnMo2
_chemical_formula_sum 'K2 Zn2 Mo4'
_cell_length_a 5.643
_cell_length_b 10.768
_cell_length_c 2.625
_cell_angle_alpha 90.00
_cell_angle_beta 108.79
_cell_angle_gamma 90.00
_symmetry_space_group_name_H-M 'C 1 2/m 1'
_symmetry_Int_Tables_number 12
loop_
_symmetry_equiv_pos_as_xyz
'x,y,z'
'-x,-y,-z'
'-x,y,-z'
'x,-y,z'
'x+1/2,y+1/2,z'
'-x+1/2,-y+1/2,-z'
'-x+1/2,y+1/2,-z'
'x+1/2,-y+1/2,z'
loop_
_atom_site_label
_atom_site_type_symbol
_atom_site_fract_x
_atom_site_fract_y
_atom_site_fract_z
K1 K 0.000 0.000 0.000
Zn1 Zn 0.000 0.500 0.000
Mo1 Mo 0.250 0.250 0.500
# Calculated volume: 18.88 Å³/atom
# Energy of formation from the pure elements: 1.150 eV per atom

(2)
# PBE KZnMo2, relaxed
data_KZnMo2
_chemical_formula_sum 'K1 Zn1 Mo2'
_cell_length_a 3.879
_cell_length_b 3.879
_cell_length_c 5.176
_cell_angle_alpha 90.00
_cell_angle_beta 90.00
_cell_angle_gamma 90.00
_symmetry_space_group_name_H-M 'P 4/m m m'
_symmetry_Int_Tables_number 123
_symmetry_space_group_name_Hall '-P 4 2'
loop_
_atom_site_label
_atom_site_type_symbol
_atom_site_fract_x
_atom_site_fract_y
_atom_site_fract_z
K1 K 0.000 0.000 0.000
Zn1 Zn 0.500 0.500 0.000
Mo1 Mo 0.000 0.500 0.500
# Calculated volume: 19.47 Å³/atom
# Energy of formation from the pure elements: 1.367 eV per atom

(3)
# PBE K2ZnMo, relaxed
data_K2ZnMo
_chemical_formula_sum 'K2 Zn1 Mo1'
_cell_length_a 3.624
_cell_length_b 3.624
_cell_length_c 10.173
_cell_angle_alpha 90.00
_cell_angle_beta 90.00
_cell_angle_gamma 90.00
_symmetry_space_group_name_H-M 'P 4 m m'
_symmetry_Int_Tables_number 99
loop_
_symmetry_equiv_pos_as_xyz
'x,y,z'
'-y,x,z'
'-x,-y,z'
'y,-x,z'
'-x,y,z'
'y,x,z'
'x,-y,z'
'-y,-x,z'
loop_
_atom_site_label
_atom_site_type_symbol
_atom_site_fract_x
_atom_site_fract_y
_atom_site_fract_z
K1 K 0.000 0.000 0.000
K2 K 0.500 0.500 0.408
Zn1 Zn 0.500 0.500 0.743
Mo1 Mo 0.000 0.000 0.674
# Calculated volume: 33.41 Å³/atom
# Energy of formation from the pure elements: 0.765 eV per atom

(4)
# PBE K2ZnMo, relaxed
data_K2ZnMo
_chemical_formula_sum 'K4 Zn2 Mo2'
_cell_length_a 13.352
_cell_length_b 2.869
_cell_length_c 6.576
_cell_angle_alpha 90.00
_cell_angle_beta 107.38
_cell_angle_gamma 90.00
_symmetry_space_group_name_H-M 'C 1 m 1'
_symmetry_Int_Tables_number 8
loop_
_symmetry_equiv_pos_as_xyz
'x,y,z'
'x,-y,z'
'x+1/2,y+1/2,z'
'x+1/2,-y+1/2,z'
loop_
_atom_site_label
_atom_site_type_symbol
_atom_site_fract_x
_atom_site_fract_y
_atom_site_fract_z
K1 K 0.000 0.000 0.000
K2 K 0.193 0.000 0.620
Zn1 Zn 0.269 0.500 0.168
Mo1 Mo 0.414 0.000 0.439
# Calculated volume: 30.05 Å³/atom
# Energy of formation from the pure elements: 0.948 eV per atom

(5)
# PBE KZnMo2, relaxed
data_KZnMo2
_chemical_formula_sum 'K2 Zn2 Mo4'
_cell_length_a 3.423
_cell_length_b 4.124
_cell_length_c 10.572
_cell_angle_alpha 90.00
_cell_angle_beta 90.00
_cell_angle_gamma 90.00
_symmetry_space_group_name_H-M 'C m m m'
_symmetry_Int_Tables_number 65
_symmetry_space_group_name_Hall '-C 2 2'
loop_
_atom_site_label
_atom_site_type_symbol
_atom_site_fract_x
_atom_site_fract_y
_atom_site_fract_z
K1 K 0.000 0.000 0.000
Zn1 Zn 0.000 0.000 0.500
Mo1 Mo 0.000 0.500 0.296
# Calculated volume: 18.66 Å³/atom
# Energy of formation from the pure elements: 0.830 eV per atom

(6)
# PBE K2ZnMo, relaxed
data_K2ZnMo
_chemical_formula_sum 'K2 Zn1 Mo1'
_cell_length_a 3.769
_cell_length_b 5.396
_cell_length_c 6.138
_cell_angle_alpha 90.00
_cell_angle_beta 90.00
_cell_angle_gamma 90.00
_symmetry_space_group_name_H-M 'P m m m'
_symmetry_Int_Tables_number 47
loop_
_symmetry_equiv_pos_as_xyz
'x,y,z'
'-x,-y,-z'
'-x,-y,z'
'x,y,-z'
'x,-y,-z'
'-x,y,z'
'-x,y,-z'
'x,-y,z'
loop_
_atom_site_label
_atom_site_type_symbol
_atom_site_fract_x
_atom_site_fract_y
_atom_site_fract_z
K1 K 0.000 0.000 0.247
Zn1 Zn 0.500 0.500 0.000
Mo1 Mo 0.500 0.500 0.500
# Calculated volume: 31.20 Å³/atom
# Energy of formation from the pure elements: 1.204 eV per atom

(7)
# PBE KZnMo2, relaxed
data_KZnMo2
_chemical_formula_sum 'K1 Zn1 Mo2'
_cell_length_a 2.933
_cell_length_b 4.218
_cell_length_c 7.644
_cell_angle_alpha 90.00
_cell_angle_beta 90.00
_cell_angle_gamma 90.00
_symmetry_space_group_name_H-M 'P m m m'
_symmetry_Int_Tables_number 47
loop_
_symmetry_equiv_pos_as_xyz
'x,y,z'
'-x,-y,-z'
'-x,-y,z'
'x,y,-z'
'x,-y,-z'
'-x,y,z'
'-x,y,-z'
'x,-y,z'
loop_
_atom_site_label
_atom_site_type_symbol
_atom_site_fract_x
_atom_site_fract_y
_atom_site_fract_z
K1 K 0.000 0.000 0.000
Zn1 Zn 0.000 0.000 0.500
Mo1 Mo 0.500 0.500 0.357
# Calculated volume: 23.65 Å³/atom
# Energy of formation from the pure elements: 0.867 eV per atom

(8)
# PBE KZnMo2, relaxed
data_KZnMo2
_chemical_formula_sum 'K4 Zn4 Mo8'
_cell_length_a 4.383
_cell_length_b 4.383
_cell_length_c 20.244
_cell_angle_alpha 90.00
_cell_angle_beta 90.00
_cell_angle_gamma 90.00
_symmetry_space_group_name_H-M 'I -4 2 d'
_symmetry_Int_Tables_number 122
_symmetry_space_group_name_Hall 'I -4 2bw'
loop_
_atom_site_label
_atom_site_type_symbol
_atom_site_fract_x
_atom_site_fract_y
_atom_site_fract_z
K1 K 0.000 0.000 0.000
Zn1 Zn 0.000 0.000 0.500
Mo1 Mo 0.094 0.250 0.625
# Calculated volume: 24.31 Å³/atom
# Energy of formation from the pure elements: 1.367 eV per atom